The following is a PBE-GGA calculation of a geometry-optimized BaCrP2 structure, from the Alexandria database.

Cell: 5.0067 5.0067 5.0067 Å, 60.00 60.00 60.00°
Closest atoms and distances in Å follow each position.
Element x y z (fractional)
Ba1 0.0000 0.0000 0.0000  4 P 3.07, 4 Cr 3.07
Cr1 0.2500 0.2500 0.2500  4 P 3.07, 4 Ba 3.07
P1 0.5000 0.5000 0.5000  4 P 3.07, 4 Cr 3.07
P2 0.7500 0.7500 0.7500  4 P 3.07, 4 Ba 3.07

Polymorph energy (0 for the lowest one) in eV/atom: 1.1029
ΔH_f (0 K) in kJ/mol of formula units: 195
Space group: F-43m, No. 216